Al3GaN4 PBE relaxed; uncorrected formation energy = -1176 meV per atom; total magnetic moment = 0.00 μB per cell; energy above the most stable polymorph in this dataset = 0 meV/atom
1.0
6.296 0.000 0.000
0.000 5.453 0.000
0.000 0.000 5.079
Al Ga N
6 2 8
direct
0.000 0.169 0.000 Al
0.250 0.334 0.500 Al
0.250 0.666 0.000 Al
0.500 0.831 0.500 Al
0.750 0.334 0.500 Al
0.750 0.666 0.000 Al
0.000 0.834 0.499 Ga
0.500 0.166 0.999 Ga
0.000 0.176 0.624 N
0.000 0.835 0.109 N
0.244 0.337 0.124 N
0.256 0.663 0.624 N
0.500 0.165 0.609 N
0.500 0.824 0.124 N
0.744 0.663 0.624 N
0.756 0.337 0.124 N